A relaxed LaTa2Tc2 crystal. Source: Alexandria via LeMat-Bulk, functional PBE.

```
data_LaTa2Tc2
_space_group_name_H-M_alt 'I 4/m m m'
_space_group_IT_number 139
_space_group_name_Hall '-I 4 2'
_cell_length_a 4.3169
_cell_length_b 4.3169
_cell_length_c 11.4859
_cell_angle_alpha 90.00
_cell_angle_beta 90.00
_cell_angle_gamma 90.00
loop_
_atom_site_label
_atom_site_fract_x
_atom_site_fract_y
_atom_site_fract_z
La1 0.0000 0.0000 0.0000
Ta1 0.0000 0.5000 0.2500
Tc1 0.0000 0.0000 0.3816
```

DOS(E_F)   6.71 states/eV/f.u.
Total DFT energy (no corrections)   -0.7289 Ry per atom